(1)
VASP calculation (PBE-GGA) on a relaxed structure of RbRe3Ir.

Properties
For the calculated volume, the calculation gives 95.57 Å³/cell. Its magnetic moment is 0.00 μB/f.u. As for the space group: Pm-3m, No. 221. The energy of formation is 4.19 eV per atom.

Unit cell a=4.572 b=4.572 c=4.572 alpha=90.00 beta=90.00 gamma=90.00
Atoms (fractional coordinates):
Rb 0.000 0.000 0.000
Re 0.000 0.000 0.500
Re 0.000 0.500 0.000
Re 0.500 0.000 0.000
Ir 0.500 0.500 0.500

***

(2)
VASP calculation (PBE-GGA) on a relaxed structure of Dy2RuBr.

Properties
For the calculated volume, the calculation gives 313.46 Å³/cell. Its magnetic moment is 0.00 μB/f.u. For the formation energy from raw total energies, the calculation gives -758 meV per atom. As for the space group: R-3m, No. 166.

Unit cell a=3.969 b=3.969 c=22.975 alpha=90.00 beta=90.00 gamma=120.00
Atoms (fractional coordinates):
Dy 0.000 0.000 0.231
Dy 0.000 0.000 0.769
Dy 0.333 0.667 0.435
Dy 0.333 0.667 0.898
Dy 0.667 0.333 0.102
Dy 0.667 0.333 0.565
Ru 0.000 0.000 0.500
Ru 0.333 0.667 0.167
Ru 0.667 0.333 0.833
Br 0.000 0.000 0.000
Br 0.333 0.667 0.667
Br 0.667 0.333 0.333

***

(3)
VASP calculation (PBE-GGA) on a relaxed structure of BaAgOs2.

Properties
For the calculated volume, the calculation gives 193.47 Å³/cell. Its magnetic moment is 0.00 μB/f.u. As for the space group: Imm2, No. 44. The energy of formation is 0.93 eV per atom.

Unit cell a=4.145 b=5.512 c=8.467 alpha=90.00 beta=90.00 gamma=90.00
Atoms (fractional coordinates):
Ba 0.000 0.000 0.000
Ba 0.500 0.500 0.500
Ag 0.000 0.500 0.202
Ag 0.500 0.000 0.702
Os 0.000 0.000 0.438
Os 0.000 0.500 0.803
Os 0.500 0.000 0.303
Os 0.500 0.500 0.938

***

(4)
VASP calculation (PBE-GGA) on a relaxed structure of DyYTl2Se4.

Properties
For the calculated volume, the calculation gives 236.09 Å³/cell. Its magnetic moment is 0.00 μB/f.u. For the formation energy from raw total energies, the calculation gives -1392 meV per atom. As for the space group: P2/m, No. 10.

Unit cell a=7.254 b=4.188 c=8.140 alpha=90.00 beta=107.28 gamma=90.00
Atoms (fractional coordinates):
Dy 0.000 0.000 0.000
Y 0.500 0.500 0.000
Tl 0.000 0.500 0.500
Tl 0.500 0.000 0.500
Se 0.234 0.500 0.204
Se 0.265 0.000 0.795
Se 0.735 0.000 0.205
Se 0.766 0.500 0.796

***

(5)
VASP calculation (PBE-GGA) on a relaxed structure of Zn4AgAu4.

Properties
For the calculated volume, the calculation gives 306.97 Å³/cell. Its magnetic moment is 0.00 μB/f.u. As for the space group: P4_2/n, No. 86. The energy of formation is -0.11 eV per atom.

Unit cell a=7.998 b=7.998 c=4.798 alpha=90.00 beta=90.00 gamma=90.00
Atoms (fractional coordinates):
Zn 0.094 0.802 0.248
Zn 0.198 0.594 0.748
Zn 0.302 0.906 0.748
Zn 0.406 0.698 0.248
Zn 0.594 0.302 0.752
Zn 0.698 0.094 0.252
Zn 0.802 0.406 0.252
Zn 0.906 0.198 0.752
Ag 0.250 0.250 0.750
Ag 0.750 0.750 0.250
Au 0.029 0.130 0.252
Au 0.130 0.471 0.248
Au 0.370 0.029 0.248
Au 0.471 0.370 0.252
Au 0.529 0.630 0.748
Au 0.630 0.971 0.752
Au 0.870 0.529 0.752
Au 0.971 0.870 0.748

***

(6)
VASP calculation (PBE-GGA) on a relaxed structure of RbLaPuO6.

Properties
For the calculated volume, the calculation gives 189.36 Å³/cell. Its magnetic moment is 0.00 μB/f.u. For the formation energy from raw total energies, the calculation gives -2426 meV per atom. As for the space group: P312, No. 149.

Unit cell a=6.128 b=6.128 c=5.822 alpha=90.00 beta=90.00 gamma=120.00
Atoms (fractional coordinates):
Rb 0.000 0.000 0.000
La 0.333 0.667 0.500
Pu 0.667 0.333 0.500
O 0.411 0.050 0.686
O 0.411 0.362 0.314
O 0.638 0.050 0.314
O 0.638 0.589 0.686
O 0.950 0.362 0.686
O 0.950 0.589 0.314

***

(7)
VASP calculation (PBE-GGA) on a relaxed structure of LaAlGe.

Properties
For the calculated volume, the calculation gives 304.86 Å³/cell. Its magnetic moment is 0.00 μB/f.u. As for the space group: Pnma, No. 62. The energy of formation is -0.64 eV per atom.

Unit cell a=7.415 b=4.615 c=8.909 alpha=90.00 beta=90.00 gamma=90.00
Atoms (fractional coordinates):
La 0.146 0.250 0.165
La 0.354 0.750 0.665
La 0.646 0.250 0.335
La 0.854 0.750 0.835
Al 0.005 0.750 0.422
Al 0.495 0.250 0.922
Al 0.505 0.750 0.078
Al 0.995 0.250 0.578
Ge 0.150 0.250 0.830
Ge 0.350 0.750 0.330
Ge 0.650 0.250 0.670
Ge 0.850 0.750 0.170

***

(8)
VASP calculation (PBE-GGA) on a relaxed structure of Hf2WSeBr.

Properties
For the calculated volume, the calculation gives 129.41 Å³/cell. Its magnetic moment is 0.00 μB/f.u. For the formation energy from raw total energies, the calculation gives 558 meV per atom. As for the space group: P4/mmm, No. 123.

Unit cell a=5.216 b=5.216 c=4.757 alpha=90.00 beta=90.00 gamma=90.00
Atoms (fractional coordinates):
Hf 0.000 0.500 0.000
Hf 0.500 0.000 0.000
W 0.000 0.000 0.000
Se 0.000 0.000 0.500
Br 0.500 0.500 0.500

***

(9)
VASP calculation (PBE-GGA) on a relaxed structure of BaPtN2F.

Properties
For the calculated volume, the calculation gives 139.02 Å³/cell. Its magnetic moment is 5.10 μB/f.u. For the formation energy from raw total energies, the calculation gives 1387 meV per atom. As for the space group: P4/mmm, No. 123.

Unit cell a=5.381 b=5.381 c=4.801 alpha=90.00 beta=90.00 gamma=90.00
Atoms (fractional coordinates):
Ba 0.000 0.000 0.000
Pt 0.500 0.500 0.500
N 0.000 0.500 0.000
N 0.500 0.000 0.000
F 0.000 0.000 0.500

***

(10)
VASP calculation (PBE-GGA) on a relaxed structure of Mg2ZrW.

Properties
For the calculated volume, the calculation gives 83.19 Å³/cell. Its magnetic moment is 0.00 μB/f.u. As for the space group: P4mm, No. 99. The energy of formation is 0.31 eV per atom.

Unit cell a=3.474 b=3.474 c=6.893 alpha=90.00 beta=90.00 gamma=90.00
Atoms (fractional coordinates):
Mg 0.000 0.000 0.000
Mg 0.500 0.500 0.271
Zr 0.500 0.500 0.706
W 0.000 0.000 0.518